# 1
Compound: La2RhBr
Source: Alexandria via LeMat-Bulk
Functional: PBE-GGA
Structure: optimized geometry

ΔE_f (raw): -0.8 eV per formula unit
excess energy over the best structure of this formula in the dataset: 993.3 meV per atom
space-group type: F-43m, No. 216
total energy: -4.91 eV per atom
crystal system: cubic
total magnetic moment: 0.00 μB/atom

Geometry as POSCAR:
```
La2RhBr
1.0
-0.3069 5.1463 0.3014
-4.4212 2.2427 1.4465
-0.3404 2.3008 4.6108
La Br Rh
2 1 1
Direct
0.2500 0.2500 0.2500 La
0.0000 0.0000 0.0000 La
0.5000 0.5000 0.5000 Br
0.7500 0.7500 0.7500 Rh
```

***

# 2
Compound: K2NaHgSe
Source: Alexandria via LeMat-Bulk
Functional: PBE-GGA
Structure: optimized geometry

ΔE_f (raw): -3.0 eV per formula unit
space-group type: P4/mmm, No. 123
total energy: -2.06 eV per atom
crystal system: tetragonal
total magnetic moment: 0.00 μB/atom

Geometry as POSCAR:
```
K2NaHgSe
1.0
-2.5466 -5.7461 1.0151
0.3418 -1.2525 -6.2328
5.0279 -2.1049 0.6987
Se K Hg Na
1 2 1 1
Direct
0.0000 0.0000 0.0000 Se
0.0000 0.5000 0.0000 K
0.5000 0.0000 0.0000 K
0.5000 0.5000 0.5000 Hg
0.0000 0.0000 0.5000 Na
```

***

# 3
Compound: Tl2HgS6
Source: Alexandria via LeMat-Bulk
Functional: PBE-GGA
Structure: optimized geometry

ΔE_f (raw): -0.8 eV per formula unit
space-group type: P-1, No. 2
total energy: -3.40 eV per atom
crystal system: triclinic
total magnetic moment: 0.00 μB/atom

Geometry as POSCAR:
```
Tl2HgS6
1.0
-2.8458 -3.5009 -4.2605
9.4240 -2.5603 2.2715
-4.8923 -0.0511 4.7990
S Tl Hg
6 2 1
Direct
0.0466 0.7617 0.6790 S
0.0550 0.2738 0.8507 S
0.2335 0.8543 0.5053 S
0.9450 0.7262 0.1493 S
0.7665 0.1457 0.4947 S
0.9534 0.2383 0.3210 S
0.6379 0.3290 0.0248 Tl
0.3621 0.6710 0.9752 Tl
0.0000 0.0000 0.0000 Hg
```

***

# 4
Compound: NbCo2Bi
Source: Alexandria via LeMat-Bulk
Functional: PBE-GGA
Structure: optimized geometry

space-group type: I-42d, No. 122
energy of formation from the pure elements: 0.6482 eV/atom
total energy: -6.39 eV per atom
crystal system: tetragonal
total magnetic moment: 0.00 μB/atom

Geometry as POSCAR:
```
NbCo2Bi
1.0
4.2210 0.0000 0.0000
0.0000 4.2210 0.0000
2.1105 2.1105 8.1262
Bi Co Nb
2 4 2
Direct
0.0000 0.0000 0.0000 Bi
0.7500 0.2500 0.5000 Bi
0.1649 0.6250 0.2500 Co
0.3750 0.4149 0.7500 Co
0.5851 0.1250 0.2500 Co
0.8750 0.8351 0.7500 Co
0.5000 0.5000 0.0000 Nb
0.2500 0.7500 0.5000 Nb
```

***

> What is the formula in the first record?

La2RhBr